(1)
The following is a GGA-PBEsol calculation of TaReP2O after structural relaxation, from Alexandria via LeMat-Bulk.

CIF file:
```
data_TaReP2O
_space_group_name_H-M_alt 'P 1'
_space_group_IT_number 1
_cell_length_a 4.8473
_cell_length_b 4.8473
_cell_length_c 3.7278
_cell_angle_alpha 90.00
_cell_angle_beta 90.00
_cell_angle_gamma 90.00
loop_
_space_group_symop_operation_xyz
'x,y,z'
loop_
_atom_site_label
_atom_site_type_symbol
_atom_site_fract_x
_atom_site_fract_y
_atom_site_fract_z
_atom_site_occupancy
Ta1 Ta 0.0000 0.0000 0.0000 1
Re1 Re 0.5000 0.5000 0.5000 1
P1 P 0.0000 0.5000 0.0000 1
P2 P 0.5000 0.0000 0.0000 1
O1 O 0.0000 0.0000 0.5000 1
```

## Properties
DOS(E_F): 2.64 states/eV per cell
Energy relative to the elements, uncorrected: 1.8 eV/f.u.
Calculated density: 8.438 Mg/m³
Space-group type: No. 123
Energy: -40.88 eV per cell

(2)
The following is a GGA-PBEsol calculation of PRhO4 after structural relaxation, from Alexandria via LeMat-Bulk.

CIF file:
```
data_PRhO4
_space_group_name_H-M_alt 'P 1'
_space_group_IT_number 1
_cell_length_a 8.9555
_cell_length_b 8.9555
_cell_length_c 8.9555
_cell_angle_alpha 109.23
_cell_angle_beta 85.69
_cell_angle_gamma 138.23
loop_
_space_group_symop_operation_xyz
'x,y,z'
loop_
_atom_site_label
_atom_site_type_symbol
_atom_site_fract_x
_atom_site_fract_y
_atom_site_fract_z
_atom_site_occupancy
P1 P 0.1744 0.0000 0.6744 1
P2 P 0.1744 0.5000 0.1744 1
P3 P 0.3287 0.0787 0.2500 1
P4 P 0.6713 0.9213 0.7500 1
P5 P 0.8256 0.0000 0.3256 1
P6 P 0.8256 0.5000 0.8256 1
Rh1 Rh 0.0000 0.0000 0.0000 1
Rh2 Rh 0.3815 0.0000 0.8815 1
Rh3 Rh 0.3815 0.5000 0.3815 1
Rh4 Rh 0.5000 0.0000 0.5000 1
Rh5 Rh 0.6185 0.0000 0.1185 1
Rh6 Rh 0.6185 0.5000 0.6185 1
O1 O 0.0801 0.2168 0.4152 1
O2 O 0.0801 0.6649 0.8633 1
O3 O 0.1017 0.9490 0.1527 1
O4 O 0.2316 0.0874 0.8721 1
O5 O 0.2316 0.3596 0.1442 1
O6 O 0.2847 0.6404 0.3721 1
O7 O 0.2847 0.9126 0.6442 1
O8 O 0.2962 0.9490 0.3473 1
O9 O 0.3016 0.2168 0.6367 1
O10 O 0.3016 0.6649 0.0848 1
O11 O 0.4767 0.1033 0.1267 1
O12 O 0.4767 0.3500 0.3733 1
O13 O 0.5233 0.6500 0.6267 1
O14 O 0.5233 0.8967 0.8733 1
O15 O 0.6984 0.3351 0.9152 1
O16 O 0.6984 0.7832 0.3633 1
O17 O 0.7038 0.0510 0.6527 1
O18 O 0.7153 0.0874 0.3558 1
O19 O 0.7153 0.3596 0.6279 1
O20 O 0.7684 0.6404 0.8558 1
O21 O 0.7684 0.9126 0.1279 1
O22 O 0.8983 0.0510 0.8473 1
O23 O 0.9199 0.3351 0.1367 1
O24 O 0.9199 0.7832 0.5848 1
```

## Properties
Energy relative to the elements, uncorrected: -9.3 eV/f.u.
Calculated density: 4.534 Mg/m³
Space-group type: No. 74
Energy: -265.11 eV per cell

(3)
The following is a GGA-PBEsol calculation of P2RhO2 after structural relaxation, from Alexandria via LeMat-Bulk.

CIF file:
```
data_P2RhO2
_space_group_name_H-M_alt 'P 1'
_space_group_IT_number 1
_cell_length_a 3.3185
_cell_length_b 3.3185
_cell_length_c 5.3881
_cell_angle_alpha 90.00
_cell_angle_beta 90.00
_cell_angle_gamma 90.00
loop_
_space_group_symop_operation_xyz
'x,y,z'
loop_
_atom_site_label
_atom_site_type_symbol
_atom_site_fract_x
_atom_site_fract_y
_atom_site_fract_z
_atom_site_occupancy
P1 P 0.0000 0.0000 0.0000 1
P2 P 0.0000 0.0000 0.5000 1
Rh1 Rh 0.5000 0.5000 0.0000 1
O1 O 0.0000 0.5000 0.5000 1
O2 O 0.5000 0.0000 0.5000 1
```

## Properties
DOS(E_F): 3.47 states/eV per cell
Energy relative to the elements, uncorrected: -1.9 eV/f.u.
Calculated density: 5.509 Mg/m³
Space-group type: No. 123
Energy: -32.09 eV per cell